DFT (PBE) results for a relaxed structure of NpCr3C2. Values from VASP.

Results
- Space-group type: C2/m (12)
- Electronic total energy: -10.091 eV/atom
- Energy of formation: -0.048 eV/atom
- Magnetization: 0.067 μB per atom

Quantum ESPRESSO input file:
```
&SYSTEM
  ibrav = 0, nat = 12, ntyp = 3
/
ATOMIC_SPECIES
Cr 52.00 Cr.upf
C 12.01 C.upf
Np 237.00 Np.upf
ATOMIC_POSITIONS crystal
Cr 0.708 0.416 0.380
Cr 0.946 0.891 0.602
Cr 0.635 0.269 0.697
Cr 0.054 0.109 0.398
Cr 0.365 0.731 0.303
Cr 0.292 0.584 0.620
C 0.519 0.037 0.222
C 0.233 0.467 0.833
C 0.481 0.963 0.778
C 0.767 0.533 0.167
Np 0.108 0.216 0.020
Np 0.892 0.784 0.980
CELL_PARAMETERS angstrom
2.998 0.000 0.000
-1.499 5.907 0.018
0.000 -2.497 7.483
```